Record 1
Entry from Alexandria via LeMat-Bulk: a relaxed structure of Y3BiTe (GGA-PBEsol).

Computed properties:
spin magnetization: 0.00 μB per formula unit
E_form (uncorrected): -0.23 eV per atom

Lattice parameters (Å, degrees): 5.558 5.558 5.558 90.00 90.00 90.00
Fractional positions:
Y1 0.000 0.000 0.500
Y2 0.000 0.500 0.000
Y3 0.500 0.000 0.000
Bi1 0.500 0.500 0.500
Te1 0.000 0.000 0.000

=====

Record 2
Entry from Alexandria via LeMat-Bulk: a relaxed structure of CsTlCuF6 (GGA-PBEsol).

Computed properties:
spin magnetization: 0.62 μB per formula unit
E_form (uncorrected): -1.97 eV per atom

Lattice parameters (Å, degrees): 7.597 7.597 7.597 121.35 117.40 91.12
Fractional positions:
Cs1 0.335 0.085 0.250
Cs2 0.665 0.915 0.750
Tl1 0.000 0.500 0.500
Tl2 0.500 0.500 0.000
Cu1 0.000 0.000 0.500
Cu2 0.000 0.500 0.000
F1 0.029 0.779 0.250
F2 0.047 0.390 0.204
F3 0.047 0.844 0.658
F4 0.314 0.156 0.704
F5 0.314 0.610 0.158
F6 0.351 0.601 0.750
F7 0.649 0.399 0.250
F8 0.686 0.390 0.842
F9 0.686 0.844 0.296
F10 0.953 0.156 0.342
F11 0.953 0.610 0.796
F12 0.971 0.221 0.750